Crystalline HfNb2CrBi at its relaxed geometry. Source: Alexandria via LeMat-Bulk, functional PBE.

Unit cell a=5.061 b=5.061 c=4.502 alpha=90.00 beta=90.00 gamma=90.00
Space group P4/mmm (No. 123)
Inequivalent atoms, fractional coordinates:
Hf (0.000, 0.000, 0.000) (multiplicity 1)
Nb (0.000, 0.500, 0.000) (multiplicity 2)
Cr (0.000, 0.000, 0.500) (multiplicity 1)
Bi (0.500, 0.500, 0.500) (multiplicity 1)

Computed properties:
calculated volume: 115.3 Å³/cell
formation energy from the elements: 1.5109 eV/atom
energy: -7.2086 eV per atom